{"formula": "Li2Lu", "functional": "PBE", "state": "optimized geometry", "density_kg_m3": 3133, "e_tot_ev_per_atom": -1.975, "m_tot_mub_per_cell": 0.06, "space_group": "Fm-3m, No. 225", "lattice_angstrom": [[7.371, 0.000, 0.000], [0.000, 7.371, 0.000], [0.000, 0.000, 7.371]], "species": ["Li", "Li", "Li", "Li", "Li", "Li", "Li", "Li", "Lu", "Lu", "Lu", "Lu"], "frac_coords": [[0.250, 0.250, 0.250], [0.250, 0.250, 0.750], [0.250, 0.750, 0.250], [0.250, 0.750, 0.750], [0.750, 0.250, 0.250], [0.750, 0.250, 0.750], [0.750, 0.750, 0.250], [0.750, 0.750, 0.750], [0.000, 0.000, 0.000], [0.000, 0.500, 0.500], [0.500, 0.000, 0.500], [0.500, 0.500, 0.000]]}



{"formula": "Li2Lu3", "functional": "PBE", "state": "optimized geometry", "density_kg_m3": 7156, "e_tot_ev_per_atom": -3.293, "m_tot_mub_per_cell": 1.14, "space_group": "P4_2/mnm, No. 136", "lattice_angstrom": [[8.327, 0.000, 0.000], [0.000, 8.327, 0.000], [0.000, 0.000, 7.213]], "species": ["Li", "Li", "Li", "Li", "Li", "Li", "Li", "Li", "Lu", "Lu", "Lu", "Lu", "Lu", "Lu", "Lu", "Lu", "Lu", "Lu", "Lu", "Lu"], "frac_coords": [[0.114, 0.114, 0.177], [0.114, 0.114, 0.823], [0.386, 0.614, 0.323], [0.386, 0.614, 0.677], [0.614, 0.386, 0.323], [0.614, 0.386, 0.677], [0.886, 0.886, 0.177], [0.886, 0.886, 0.823], [0.000, 0.500, 0.250], [0.000, 0.500, 0.750], [0.151, 0.849, 0.500], [0.221, 0.779, 0.000], [0.279, 0.279, 0.500], [0.349, 0.349, 0.000], [0.500, 0.000, 0.250], [0.500, 0.000, 0.750], [0.651, 0.651, 0.000], [0.721, 0.721, 0.500], [0.779, 0.221, 0.000], [0.849, 0.151, 0.500]]}



{"formula": "LiLuMg", "functional": "PBE", "state": "optimized geometry", "density_kg_m3": 4396, "e_tot_ev_per_atom": -2.259, "de_polymorph_mev_per_atom": 0, "m_tot_mub_per_cell": 0.03, "space_group": "F-43m, No. 216", "lattice_angstrom": [[6.779, 0.000, 0.000], [0.000, 6.779, 0.000], [0.000, 0.000, 6.779]], "species": ["Li", "Li", "Li", "Li", "Lu", "Lu", "Lu", "Lu", "Mg", "Mg", "Mg", "Mg"], "frac_coords": [[0.000, 0.000, 0.000], [0.000, 0.500, 0.500], [0.500, 0.000, 0.500], [0.500, 0.500, 0.000], [0.250, 0.250, 0.750], [0.250, 0.750, 0.250], [0.750, 0.250, 0.250], [0.750, 0.750, 0.750], [0.250, 0.250, 0.250], [0.250, 0.750, 0.750], [0.750, 0.250, 0.750], [0.750, 0.750, 0.250]]}



{"formula": "LiLu2Mg", "functional": "PBE", "state": "optimized geometry", "density_kg_m3": 6256, "e_tot_ev_per_atom": -2.957, "m_tot_mub_per_cell": 0.01, "space_group": "F-43m, No. 216", "lattice_angstrom": [[7.397, 0.000, 0.000], [0.000, 7.397, 0.000], [0.000, 0.000, 7.397]], "species": ["Li", "Li", "Li", "Li", "Lu", "Lu", "Lu", "Lu", "Lu", "Lu", "Lu", "Lu", "Mg", "Mg", "Mg", "Mg"], "frac_coords": [[0.000, 0.000, 0.000], [0.000, 0.500, 0.500], [0.500, 0.000, 0.500], [0.500, 0.500, 0.000], [0.000, 0.000, 0.500], [0.000, 0.500, 0.000], [0.250, 0.250, 0.750], [0.250, 0.750, 0.250], [0.500, 0.000, 0.000], [0.500, 0.500, 0.500], [0.750, 0.250, 0.250], [0.750, 0.750, 0.750], [0.250, 0.250, 0.250], [0.250, 0.750, 0.750], [0.750, 0.250, 0.750], [0.750, 0.750, 0.250]]}



{"formula": "LiLuMg", "functional": "PBE", "state": "optimized geometry", "density_kg_m3": 3703, "e_tot_ev_per_atom": -1.955, "de_polymorph_mev_per_atom": 303, "m_tot_mub_per_cell": 0.92, "space_group": "F-43m, No. 216", "lattice_angstrom": [[7.179, 0.000, 0.000], [0.000, 7.179, 0.000], [0.000, 0.000, 7.179]], "species": ["Li", "Li", "Li", "Li", "Lu", "Lu", "Lu", "Lu", "Mg", "Mg", "Mg", "Mg"], "frac_coords": [[0.000, 0.000, 0.000], [0.000, 0.500, 0.500], [0.500, 0.000, 0.500], [0.500, 0.500, 0.000], [0.250, 0.250, 0.250], [0.250, 0.750, 0.750], [0.750, 0.250, 0.750], [0.750, 0.750, 0.250], [0.000, 0.000, 0.500], [0.000, 0.500, 0.000], [0.500, 0.000, 0.000], [0.500, 0.500, 0.500]]}



{"formula": "Li2LuMgSn2Pt2", "functional": "PBE", "state": "optimized geometry", "density_kg_m3": 9798, "e_tot_ev_per_atom": -4.534, "m_tot_mub_per_cell": 0.01, "space_group": "P-4m2, No. 115", "lattice_angstrom": [[4.642, 0.000, 0.000], [0.000, 4.642, 0.000], [0.000, 0.000, 6.612]], "species": ["Li", "Li", "Lu", "Mg", "Sn", "Sn", "Pt", "Pt"], "frac_coords": [[0.000, 0.500, 0.225], [0.500, 0.000, 0.775], [0.000, 0.000, 0.500], [0.500, 0.500, 0.000], [0.000, 0.000, 0.000], [0.500, 0.500, 0.500], [0.000, 0.500, 0.754], [0.500, 0.000, 0.246]]}



{"formula": "Li2LuMo", "functional": "PBE", "state": "optimized geometry", "density_kg_m3": 7412, "e_tot_ev_per_atom": -4.072, "m_tot_mub_per_cell": 9.61, "space_group": "F-43m, No. 216", "lattice_angstrom": [[6.343, 0.000, 0.000], [0.000, 6.343, 0.000], [0.000, 0.000, 6.343]], "species": ["Li", "Li", "Li", "Li", "Li", "Li", "Li", "Li", "Lu", "Lu", "Lu", "Lu", "Mo", "Mo", "Mo", "Mo"], "frac_coords": [[0.000, 0.000, 0.000], [0.000, 0.500, 0.500], [0.250, 0.250, 0.250], [0.250, 0.750, 0.750], [0.500, 0.000, 0.500], [0.500, 0.500, 0.000], [0.750, 0.250, 0.750], [0.750, 0.750, 0.250], [0.000, 0.000, 0.500], [0.000, 0.500, 0.000], [0.500, 0.000, 0.000], [0.500, 0.500, 0.500], [0.250, 0.250, 0.750], [0.250, 0.750, 0.250], [0.750, 0.250, 0.250], [0.750, 0.750, 0.750]]}



{"formula": "LiLuMo2", "functional": "PBE", "state": "optimized geometry", "density_kg_m3": 9062, "e_tot_ev_per_atom": -6.771, "m_tot_mub_per_cell": 0.01, "space_group": "F-43m, No. 216", "lattice_angstrom": [[6.495, 0.000, 0.000], [0.000, 6.495, 0.000], [0.000, 0.000, 6.495]], "species": ["Li", "Li", "Li", "Li", "Lu", "Lu", "Lu", "Lu", "Mo", "Mo", "Mo", "Mo", "Mo", "Mo", "Mo", "Mo"], "frac_coords": [[0.000, 0.000, 0.000], [0.000, 0.500, 0.500], [0.500, 0.000, 0.500], [0.500, 0.500, 0.000], [0.250, 0.250, 0.250], [0.250, 0.750, 0.750], [0.750, 0.250, 0.750], [0.750, 0.750, 0.250], [0.000, 0.000, 0.500], [0.000, 0.500, 0.000], [0.250, 0.250, 0.750], [0.250, 0.750, 0.250], [0.500, 0.000, 0.000], [0.500, 0.500, 0.500], [0.750, 0.250, 0.250], [0.750, 0.750, 0.750]]}



{"formula": "LiLuMoOs", "functional": "PBE", "state": "optimized geometry", "density_kg_m3": 11725, "e_tot_ev_per_atom": -7.093, "de_polymorph_mev_per_atom": 0, "m_tot_mub_per_cell": 0.01, "space_group": "F-43m, No. 216", "lattice_angstrom": [[6.425, 0.000, 0.000], [0.000, 6.425, 0.000], [0.000, 0.000, 6.425]], "species": ["Li", "Li", "Li", "Li", "Lu", "Lu", "Lu", "Lu", "Mo", "Mo", "Mo", "Mo", "Os", "Os", "Os", "Os"], "frac_coords": [[0.000, 0.000, 0.000], [0.000, 0.500, 0.500], [0.500, 0.000, 0.500], [0.500, 0.500, 0.000], [0.250, 0.250, 0.250], [0.250, 0.750, 0.750], [0.750, 0.250, 0.750], [0.750, 0.750, 0.250], [0.250, 0.250, 0.750], [0.250, 0.750, 0.250], [0.750, 0.250, 0.250], [0.750, 0.750, 0.750], [0.000, 0.000, 0.500], [0.000, 0.500, 0.000], [0.500, 0.000, 0.000], [0.500, 0.500, 0.500]]}



{"formula": "LiLuMoOs", "functional": "PBE", "state": "optimized geometry", "density_kg_m3": 11618, "e_tot_ev_per_atom": -6.520, "de_polymorph_mev_per_atom": 573, "m_tot_mub_per_cell": 8.81, "space_group": "F-43m, No. 216", "lattice_angstrom": [[6.444, 0.000, 0.000], [0.000, 6.444, 0.000], [0.000, 0.000, 6.444]], "species": ["Li", "Li", "Li", "Li", "Lu", "Lu", "Lu", "Lu", "Mo", "Mo", "Mo", "Mo", "Os", "Os", "Os", "Os"], "frac_coords": [[0.000, 0.000, 0.000], [0.000, 0.500, 0.500], [0.500, 0.000, 0.500], [0.500, 0.500, 0.000], [0.000, 0.000, 0.500], [0.000, 0.500, 0.000], [0.500, 0.000, 0.000], [0.500, 0.500, 0.500], [0.250, 0.250, 0.750], [0.250, 0.750, 0.250], [0.750, 0.250, 0.250], [0.750, 0.750, 0.750], [0.250, 0.250, 0.250], [0.250, 0.750, 0.750], [0.750, 0.250, 0.750], [0.750, 0.750, 0.250]]}



{"formula": "LiLuMoOs", "functional": "PBE", "state": "optimized geometry", "density_kg_m3": 12072, "e_tot_ev_per_atom": -7.052, "de_polymorph_mev_per_atom": 41, "m_tot_mub_per_cell": 0.00, "space_group": "F-43m, No. 216", "lattice_angstrom": [[6.362, 0.000, 0.000], [0.000, 6.362, 0.000], [0.000, 0.000, 6.362]], "species": ["Li", "Li", "Li", "Li", "Lu", "Lu", "Lu", "Lu", "Mo", "Mo", "Mo", "Mo", "Os", "Os", "Os", "Os"], "frac_coords": [[0.000, 0.000, 0.000], [0.000, 0.500, 0.500], [0.500, 0.000, 0.500], [0.500, 0.500, 0.000], [0.250, 0.250, 0.750], [0.250, 0.750, 0.250], [0.750, 0.250, 0.250], [0.750, 0.750, 0.750], [0.000, 0.000, 0.500], [0.000, 0.500, 0.000], [0.500, 0.000, 0.000], [0.500, 0.500, 0.500], [0.250, 0.250, 0.250], [0.250, 0.750, 0.750], [0.750, 0.250, 0.750], [0.750, 0.750, 0.250]]}



{"formula": "LiLu2Nb", "functional": "PBE", "state": "optimized geometry", "density_kg_m3": 8328, "e_tot_ev_per_atom": -4.794, "m_tot_mub_per_cell": 6.45, "space_group": "F-43m, No. 216", "lattice_angstrom": [[7.105, 0.000, 0.000], [0.000, 7.105, 0.000], [0.000, 0.000, 7.105]], "species": ["Li", "Li", "Li", "Li", "Lu", "Lu", "Lu", "Lu", "Lu", "Lu", "Lu", "Lu", "Nb", "Nb", "Nb", "Nb"], "frac_coords": [[0.000, 0.000, 0.000], [0.000, 0.500, 0.500], [0.500, 0.000, 0.500], [0.500, 0.500, 0.000], [0.000, 0.000, 0.500], [0.000, 0.500, 0.000], [0.250, 0.250, 0.750], [0.250, 0.750, 0.250], [0.500, 0.000, 0.000], [0.500, 0.500, 0.500], [0.750, 0.250, 0.250], [0.750, 0.750, 0.750], [0.250, 0.250, 0.250], [0.250, 0.750, 0.750], [0.750, 0.250, 0.750], [0.750, 0.750, 0.250]]}



{"formula": "Li2Lu2Nb", "functional": "PBE", "state": "optimized geometry", "density_kg_m3": 7254, "e_tot_ev_per_atom": -4.188, "m_tot_mub_per_cell": 0.01, "space_group": "Imma, No. 74", "lattice_angstrom": [[-2.238, 2.675, 8.732], [2.238, -2.675, 8.732], [2.238, 2.675, -8.732]], "species": ["Li", "Li", "Li", "Li", "Lu", "Lu", "Lu", "Lu", "Nb", "Nb"], "frac_coords": [[0.408, 0.158, 0.250], [0.467, 0.717, 0.750], [0.533, 0.283, 0.250], [0.592, 0.842, 0.750], [0.155, 0.905, 0.250], [0.304, 0.554, 0.750], [0.696, 0.446, 0.250], [0.845, 0.095, 0.750], [0.043, 0.293, 0.750], [0.957, 0.707, 0.250]]}